1.
Entry from the Alexandria database: a relaxed RbAlSi crystal (PBE-GGA).

Cell and atoms, written as POSCAR:
```
RbAlSi
1.0
3.5639 -6.3399 0.0000
3.5639 6.3399 0.0000
0.0000 0.0000 5.7796
Rb Al Si
2 2 2
Direct
0.1815 0.8185 0.7500
0.8185 0.1815 0.2500
0.5000 0.5000 0.0000
0.5000 0.5000 0.5000
0.3534 0.6466 0.2500
0.6466 0.3534 0.7500
```

Results
The value obtained for the density of states at the Fermi level is 0.76 states/eV/f.u. The total energy is -18.75 eV/cell. As for the space group: Cmcm (63). The total magnetic moment comes out at 0.00 μB/f.u. As for the formation energy (no corrections): 0.252 eV per atom.

=====

2.
Entry from the Alexandria database: a relaxed RbAlSi3 crystal (PBE-GGA).

Cell and atoms, written as POSCAR:
```
RbAlSi3
1.0
4.9687 0.0000 0.0000
0.0000 4.9687 0.0000
0.0000 0.0000 4.9687
Rb Al Si
1 1 3
Direct
0.0000 0.0000 0.0000
0.5000 0.5000 0.5000
0.0000 0.5000 0.5000
0.5000 0.0000 0.5000
0.5000 0.5000 0.0000
```

Results
The value obtained for the density of states at the Fermi level is 3.12 states/eV/f.u. The total energy is -17.41 eV/cell. As for the space group: Pm-3m (221). The total magnetic moment comes out at 0.00 μB/f.u. As for the formation energy (no corrections): 0.714 eV per atom.

=====

3.
Entry from the Alexandria database: a relaxed Rb2AlSi crystal (PBE-GGA).

Cell and atoms, written as POSCAR:
```
Rb2AlSi
1.0
0.0000 4.1993 4.1993
4.1993 0.0000 4.1993
4.1993 4.1993 0.0000
Rb Al Si
2 1 1
Direct
0.2500 0.2500 0.2500
0.7500 0.7500 0.7500
0.0000 0.0000 0.0000
0.5000 0.5000 0.5000
```

Results
The value obtained for the density of states at the Fermi level is 2.03 states/eV/f.u. The total energy is -8.18 eV/cell. As for the space group: Fm-3m (225). The total magnetic moment comes out at 1.00 μB/f.u. As for the formation energy (no corrections): 0.729 eV per atom.

=====

4.
Entry from the Alexandria database: a relaxed RbAlSi crystal (PBE-GGA).

Cell and atoms, written as POSCAR:
```
RbAlSi
1.0
4.2688 0.0000 0.0000
0.0000 5.8701 0.0000
0.0000 0.0000 7.4324
Rb Al Si
2 2 2
Direct
0.0000 0.0000 0.0000
0.5000 0.0000 0.5000
0.0000 0.5000 0.3243
0.0000 0.5000 0.6757
0.5000 0.5000 0.1585
0.5000 0.5000 0.8415
```

Results
The value obtained for the density of states at the Fermi level is 0.16 states/eV/f.u. The total energy is -20.04 eV/cell. As for the space group: Pmmm (47). The total magnetic moment comes out at 0.00 μB/f.u. As for the formation energy (no corrections): 0.037 eV per atom.